Here is a geometry-optimized RhSe2 structure from Alexandria via LeMat-Bulk. Energies are from PBE.

Cell: 3.785 6.030 21.061 Å, 90.00 90.00 90.00°
Atoms (fractional coordinates):
Se 0.750 0.198 0.738
Se 0.250 0.032 0.120
Se 0.750 0.968 0.880
Se 0.750 0.225 0.504
Se 0.250 0.775 0.496
Se 0.750 0.532 0.380
Se 0.250 0.449 0.860
Se 0.250 0.725 0.996
Se 0.750 0.275 0.004
Se 0.750 0.302 0.238
Se 0.750 0.949 0.640
Se 0.250 0.468 0.620
Se 0.250 0.698 0.762
Se 0.250 0.802 0.262
Se 0.750 0.551 0.140
Se 0.250 0.051 0.360
Rh 0.250 0.087 0.575
Rh 0.750 0.587 0.925
Rh 0.750 0.575 0.693
Rh 0.250 0.413 0.075
Rh 0.250 0.075 0.807
Rh 0.750 0.913 0.425
Rh 0.250 0.425 0.307
Rh 0.750 0.925 0.193

Output
The space group is Pnma, No. 62. Its crystal system is orthorhombic. The formation energy from raw total energies is -0.438 eV/atom. For the magnetic moment, the calculation gives 0.000 μB/atom.